YMg2Al2 GGA-PBE optimized geometry; V = 22.6 Å³ per atom; electronic total energy = -3.622 eV/atom; ΔE_f = -0.1944 eV per atom; distance to the lowest polymorph of the same formula = 0.00 eV per formula unit; space group = No. 139
1.0
-1.272 1.636 3.779
1.599 -3.449 2.031
5.523 1.920 3.486
Y Mg Al
1 2 2
direct
0.000 0.000 0.000
0.750 0.250 0.500
0.250 0.750 0.500
0.398 0.398 0.204
0.602 0.602 0.796



Sc2ReRu GGA-PBE optimized geometry; V = 16.8 Å³ per atom; electronic total energy = -8.678 eV/atom; ΔE_f = -0.0816 eV per atom; space group = No. 47
1.0
-0.940 3.041 0.289
-1.375 -0.862 4.599
3.946 1.089 1.384
Re Ru Sc
1 1 2
direct
0.500 0.000 0.500
0.000 0.500 0.500
0.000 0.000 0.000
0.500 0.500 0.000